DFT (PBE) results for K4Pu6Br19 after structural relaxation.

Summary:
energy: -5.803 eV/atom
density: 4.54 g/cm3
raw formation energy: -1.5905 eV per atom
total magnetic moment: 33.0 μB per formula unit

Cell: 11.4238 11.4238 11.4238 Å, 109.47 109.47 109.47°
Closest atoms and distances in Å follow each position.
Sites, in units of the cell vectors:
K 0.0000 0.0000 0.7134  4 Br 3.27-3.53
K 0.0000 0.7134 0.0000  4 Br 3.27-3.53
K 0.2866 0.2866 0.2866  4 Br 3.27-3.53
K 0.7134 0.0000 0.0000  4 Br 3.27-3.53
Pu 0.3329 0.5000 0.8329  6 Br 2.93-2.95
Pu 0.6671 0.5000 0.1671  6 Br 2.93-2.95
Pu 0.1671 0.6671 0.5000  6 Br 2.93-2.95
Pu 0.8329 0.3329 0.5000  6 Br 2.93-2.95
Pu 0.5000 0.8329 0.3329  6 Br 2.93-2.95
Pu 0.5000 0.1671 0.6671  6 Br 2.93-2.95
Br 0.6468 0.0000 0.6468  2 Pu 2.93
Br 0.3532 0.0000 0.3532  2 Pu 2.93
Br 0.3532 0.3532 0.0000  2 Pu 2.93
Br 0.6468 0.6468 0.0000  2 Pu 2.93
Br 0.0000 0.6468 0.6468  2 Pu 2.93
Br 0.0000 0.3532 0.3532  2 Pu 2.93
Br 0.0000 0.0000 0.0000  4 K 3.27
Br 0.2892 0.2617 0.5875  2 Pu 2.93-2.95
Br 0.7108 0.2983 0.9726  2 Pu 2.93-2.95
Br 0.6742 0.7017 0.4125  2 Pu 2.93-2.95
Br 0.9726 0.7108 0.2983  2 Pu 2.93-2.95
Br 0.3258 0.7383 0.0274  2 Pu 2.93-2.95
Br 0.5875 0.2892 0.2617  2 Pu 2.93-2.95
Br 0.0274 0.3258 0.7383  2 Pu 2.93-2.95
Br 0.4125 0.6742 0.7017  2 Pu 2.93-2.95
Br 0.7383 0.0274 0.3258  2 Pu 2.93-2.95
Br 0.2983 0.9726 0.7108  2 Pu 2.93-2.95
Br 0.2617 0.5875 0.2892  2 Pu 2.93-2.95
Br 0.7017 0.4125 0.6742  2 Pu 2.93-2.95